Material: PrSc5Sn6
Method: DFT, GGA-PBE
State: relaxed

## Properties
Crystal system   monoclinic
DFT formation energy   -0.551 eV/atom
DFT total energy   -5.5886 eV/atom

Cell and atoms, written as extended XYZ:
```
12
Lattice="2.963 -7.312 0.000 2.963 7.312 0.000 -1.852 0.000 6.961" Properties=species:S:1:pos:R:3 pbc="T T T"
Pr 0.000 0.000 0.000
Sc -0.926 0.000 3.481
Sc 2.963 2.580 0.000
Sc 2.037 2.164 3.481
Sc 2.037 -2.164 3.481
Sc 2.963 -2.580 0.000
Sn 2.387 4.748 1.921
Sn 1.686 4.748 5.040
Sn 1.352 0.000 5.363
Sn 2.722 0.000 1.599
Sn 2.387 -4.748 1.921
Sn 1.686 -4.748 5.040
```

Material: PrScSn6
Method: DFT, GGA-PBE
State: relaxed

## Properties
Crystal system   tetragonal
DFT formation energy   -0.390 eV/atom
DFT total energy   -4.7809 eV/atom

Cell and atoms, written as extended XYZ:
```
8
Lattice="4.821 0.000 0.000 0.000 4.821 0.000 0.000 0.000 8.996" Properties=species:S:1:pos:R:3 pbc="T T T"
Pr 0.000 0.000 0.000
Sc 0.000 0.000 4.498
Sn 0.000 2.410 2.371
Sn 0.000 2.410 6.625
Sn 2.410 0.000 2.371
Sn 2.410 0.000 6.625
Sn 2.410 2.410 0.000
Sn 2.410 2.410 4.498
```

no.,D(E_F) (states/eV per cell)
1,8.21
2,3.28